# 1
Compound: Pr2Y2Zn3
Source: the Alexandria database
Functional: PBE
Structure: relaxed

The structure in POSCAR format:
```
Pr2Y2Zn3
1.0
-3.7710 -3.5172 -5.9329
7.7594 -0.5855 -1.1131
-1.9456 -3.4829 6.7731
Pr Y Zn
4 4 6
Direct
0.5000 0.3477 0.5000
0.0000 0.0000 0.3477
0.6523 0.1523 0.1523
0.8477 0.5000 0.0000
0.0000 0.0000 0.8636
0.5000 0.8636 0.5000
0.1364 0.6364 0.6364
0.3636 0.5000 0.0000
0.7500 0.6420 0.3920
0.2500 0.8580 0.1080
0.6080 0.7500 0.8580
0.8920 0.2500 0.6420
0.3580 0.1080 0.7500
0.1420 0.3920 0.2500
```

Output
As for the symmetry: I2_13, No. 199.

=====

# 2
Compound: In2PdPt8
Source: the Alexandria database
Functional: PBE
Structure: relaxed

The structure in POSCAR format:
```
In2PdPt8
1.0
4.3483 1.3376 1.0149
1.6507 8.5702 3.1010
1.6507 5.2941 7.4187
In Pd Pt
2 1 8
Direct
0.3506 0.8245 0.8245
0.6494 0.1755 0.1755
0.0000 0.0000 0.0000
0.3241 0.3361 0.8404
0.6759 0.1596 0.6639
0.0144 0.7428 0.7428
0.9856 0.2572 0.2572
0.3241 0.8404 0.3361
0.6759 0.6639 0.1596
0.7694 0.6156 0.6156
0.2306 0.3844 0.3844
```

Output
The calculation puts the distance to the lowest polymorph of the same formula at 2.09 kcal/mol of atoms. As for the symmetry: C2/m, No. 12.

=====

DFT formation energy: -0.15, -0.14 (eV/atom)